{
  "formula": "La6GaRh2",
  "functional": "PBE-GGA",
  "state": "optimized geometry",
  "polymorph_energy_mev_per_atom": 0,
  "formation_energy_ev_per_atom": -0.463,
  "sg": "C2/m",
  "n_ef_per_ev_cell": 9.766,
  "lattice_angstrom": [[5.382, -2.597, 0.000], [5.382, 2.597, 0.000], [-1.376, 0.000, 9.177]],
  "species": ["La", "La", "La", "La", "La", "La", "Ga", "Rh", "Rh"],
  "fractional_positions": [[0.068, 0.068, 0.344], [0.316, 0.316, 0.900], [0.382, 0.382, 0.336], [0.618, 0.618, 0.664], [0.684, 0.684, 0.100], [0.932, 0.932, 0.656], [0.000, 0.000, 0.000], [0.269, 0.269, 0.614], [0.731, 0.731, 0.386]]
}

{
  "formula": "La2GaRh",
  "functional": "PBE-GGA",
  "state": "optimized geometry",
  "formation_energy_ev_per_atom": -0.224,
  "sg": "R-3m",
  "n_ef_per_ev_cell": 1.920,
  "lattice_angstrom": [[2.043, 1.179, 9.682], [-2.043, 1.179, 9.682], [0.000, -2.359, 9.682]],
  "species": ["La", "La", "Ga", "Rh"],
  "fractional_positions": [[0.112, 0.112, 0.112], [0.888, 0.888, 0.888], [0.000, 0.000, 0.000], [0.500, 0.500, 0.500]]
}

{
  "formula": "La4GaRh3",
  "functional": "PBE-GGA",
  "state": "optimized geometry",
  "formation_energy_ev_per_atom": -0.711,
  "sg": "Pmm2",
  "n_ef_per_ev_cell": 5.266,
  "lattice_angstrom": [[4.034, 0.000, 0.000], [0.000, 4.474, 0.000], [0.000, 0.000, 11.039]],
  "species": ["La", "La", "La", "La", "Ga", "Rh", "Rh", "Rh"],
  "fractional_positions": [[0.000, 0.000, 0.000], [0.000, 0.500, 0.263], [0.500, 0.000, 0.477], [0.500, 0.500, 0.773], [0.000, 0.000, 0.692], [0.000, 0.500, 0.563], [0.500, 0.000, 0.222], [0.500, 0.500, 0.033]]
}

{
  "formula": "La4GaRh2",
  "functional": "PBE-GGA",
  "state": "optimized geometry",
  "polymorph_energy_mev_per_atom": 0,
  "formation_energy_ev_per_atom": -0.626,
  "sg": "Cc",
  "n_ef_per_ev_cell": 11.791,
  "lattice_angstrom": [[4.410, -7.647, 0.000], [4.410, 7.647, 0.000], [-4.345, 0.000, 5.673]],
  "species": ["La", "La", "La", "La", "La", "La", "La", "La", "Ga", "Ga", "Rh", "Rh", "Rh", "Rh"],
  "fractional_positions": [[0.032, 0.968, 0.500], [0.122, 0.485, 0.542], [0.190, 0.733, 0.169], [0.485, 0.122, 0.042], [0.503, 0.570, 0.352], [0.570, 0.503, 0.852], [0.733, 0.190, 0.669], [0.968, 0.032, 0.000], [0.624, 0.887, 0.152], [0.887, 0.624, 0.652], [0.167, 0.351, 0.894], [0.351, 0.167, 0.394], [0.522, 0.836, 0.725], [0.836, 0.522, 0.225]]
}